Record 1
The following is a DFT calculation (PBE-GGA) of Pr6HoPb after structural relaxation.

Computed properties:
The raw total energy comes out at -4.77 eV/atom. The density of states at the Fermi level comes out at 1.00 states/eV/atom. The value obtained for the energy relative to the elements is -0.15 eV per atom.

abc: 5.0684 5.0684 10.4580
angles: 90.00 90.00 90.00
With the nearest neighbours (Å) after each atom.
Element x y z (fractional)
Pr 0.0000 0.0000 0.0000  4 Pb 3.58, 8 Pr 3.60
Pr 0.0000 0.0000 0.5000  4 Ho 3.58, 8 Pr 3.68
Pr 0.0000 0.5000 0.2444  8 Pr 3.58-3.68, 2 Pb 3.60, 2 Ho 3.68
Pr 0.0000 0.5000 0.7556  8 Pr 3.58-3.68, 2 Pb 3.60, 2 Ho 3.68
Pr 0.5000 0.0000 0.2444  8 Pr 3.58-3.68, 2 Pb 3.60, 2 Ho 3.68
Pr 0.5000 0.0000 0.7556  8 Pr 3.58-3.68, 2 Pb 3.60, 2 Ho 3.68
Ho 0.5000 0.5000 0.5000  12 Pr 3.58-3.68
Pb 0.5000 0.5000 0.0000  12 Pr 3.58-3.60



Record 2
The following is a DFT calculation (PBE-GGA) of ZnPbCl2 after structural relaxation.

Computed properties:
The raw total energy comes out at -2.84 eV/atom. For the uncorrected formation energy, the calculation gives -0.67 eV per atom. The energy relative to the lowest polymorph listed for this composition is 0.000 eV/atom. The density of states at the Fermi level comes out at 0.04 states/eV/atom.

abc: 5.0827 3.6056 5.8879
angles: 90.00 105.42 90.00
With the nearest neighbours (Å) after each atom.
Element x y z (fractional)
Zn 0.0000 0.0000 0.0000  3 Cl 2.37-2.54
Pb 0.3568 0.5000 0.3602  3 Cl 2.94-3.26, 2 Zn 3.00
Cl 0.6462 0.5000 0.9897  2 Zn 2.54
Cl 0.9600 0.0000 0.5900  1 Zn 2.37



Record 3
The following is a DFT calculation (PBE-GGA) of MnBi2Ir after structural relaxation.

Computed properties:
The raw total energy comes out at -5.44 eV/atom. The energy relative to the lowest polymorph listed for this composition is 0.581 eV/atom. The density of states at the Fermi level comes out at 1.36 states/eV/atom. The value obtained for the energy relative to the elements is 1.00 eV per atom.

abc: 7.4569 7.4569 7.4569
angles: 132.50 132.50 69.45
With the nearest neighbours (Å) after each atom.
Element x y z (fractional)
Mn 0.0000 0.0000 0.0000  4 Bi 2.58
Mn 0.7500 0.2500 0.5000  4 Bi 2.58
Bi 0.1126 0.6250 0.9876  2 Mn 2.58, 2 Ir 2.66
Bi 0.3750 0.3626 0.4876  2 Mn 2.58, 2 Ir 2.66
Bi 0.6374 0.1250 0.0124  2 Mn 2.58, 2 Ir 2.66
Bi 0.8750 0.8874 0.5124  2 Mn 2.58, 2 Ir 2.66
Ir 0.2500 0.7500 0.5000  4 Bi 2.66
Ir 0.5000 0.5000 0.0000  4 Bi 2.66



Record 4
The following is a DFT calculation (PBE-GGA) of PrDyZnFe after structural relaxation.

Computed properties:
The raw total energy comes out at -4.79 eV/atom. The density of states at the Fermi level comes out at 1.09 states/eV/atom. The value obtained for the energy relative to the elements is -0.01 eV per atom.

abc: 5.0219 5.0219 5.0219
angles: 60.00 60.00 60.00
With the nearest neighbours (Å) after each atom.
Element x y z (fractional)
Pr 0.0000 0.0000 0.0000  4 Fe 3.08, 4 Zn 3.08
Dy 0.5000 0.5000 0.5000  4 Zn 3.08, 4 Fe 3.08
Zn 0.7500 0.7500 0.7500  4 Pr 3.08, 4 Dy 3.08
Fe 0.2500 0.2500 0.2500  4 Dy 3.08, 4 Pr 3.08



Record 5
The following is a DFT calculation (PBE-GGA) of YSiP2 after structural relaxation.

Computed properties:
The raw total energy comes out at -6.20 eV/atom. For the uncorrected formation energy, the calculation gives -0.52 eV per atom. The density of states at the Fermi level comes out at 0.34 states/eV/atom.

abc: 6.7868 6.7868 6.7868
angles: 31.32 31.32 31.32
With the nearest neighbours (Å) after each atom.
Element x y z (fractional)
Y 0.0000 0.0000 0.0000  6 P 2.84
Si 0.5000 0.5000 0.5000  6 P 2.50
P 0.2353 0.2353 0.2353  3 Si 2.50
P 0.7647 0.7647 0.7647  3 Si 2.50



Record 6
The following is a DFT calculation (PBE-GGA) of SiTe4 after structural relaxation.

Computed properties:
The raw total energy comes out at -3.24 eV/atom. For the uncorrected formation energy, the calculation gives 0.35 eV per atom. The energy relative to the lowest polymorph listed for this composition is 0.190 eV/atom. The density of states at the Fermi level comes out at 0.47 states/eV/atom.

abc: 5.8379 5.8379 5.8379
angles: 109.47 109.47 109.47
With the nearest neighbours (Å) after each atom.
Element x y z (fractional)
Si 0.0000 0.0000 0.0000  8 Te 2.92
Te 0.0000 0.0000 0.5000  2 Si 2.92
Te 0.0000 0.5000 0.0000  2 Si 2.92
Te 0.5000 0.0000 0.0000  2 Si 2.92
Te 0.5000 0.5000 0.5000  2 Si 2.92



Record 7
The following is a DFT calculation (PBE-GGA) of Ga2HgO4 after structural relaxation.

Computed properties:
The raw total energy comes out at -5.11 eV/atom. For the uncorrected formation energy, the calculation gives -1.37 eV per atom. The energy relative to the lowest polymorph listed for this composition is 0.003 eV/atom.

abc: 9.0521 2.9971 12.8153
angles: 90.00 90.00 90.00
With the nearest neighbours (Å) after each atom.
Element x y z (fractional)
Ga 0.0454 0.2500 0.1088  6 O 1.95-2.16
Ga 0.1422 0.2500 0.6936  5 O 1.87-2.02
Ga 0.3578 0.7500 0.1936  5 O 1.87-2.02
Ga 0.4546 0.7500 0.6088  6 O 1.95-2.16
Ga 0.5454 0.2500 0.3912  6 O 1.95-2.16
Ga 0.6422 0.2500 0.8064  5 O 1.87-2.02
Ga 0.8578 0.7500 0.3064  5 O 1.87-2.02
Ga 0.9546 0.7500 0.8912  6 O 1.95-2.16
Hg 0.1771 0.2500 0.4351  2 O 2.05-2.08
Hg 0.3229 0.7500 0.9351  2 O 2.05-2.08
Hg 0.6771 0.2500 0.0649  2 O 2.05-2.08
Hg 0.8229 0.7500 0.5649  2 O 2.05-2.08
O 0.0367 0.7500 0.6180  2 Ga 2.02, 1 Hg 2.05
O 0.0580 0.2500 0.8270  3 Ga 1.87-1.95
O 0.1208 0.7500 0.0121  3 Ga 2.06-2.16, 1 Hg 2.08
O 0.2188 0.2500 0.2002  3 Ga 1.96
O 0.2812 0.7500 0.7002  3 Ga 1.96
O 0.3792 0.2500 0.5121  3 Ga 2.06-2.16, 1 Hg 2.08
O 0.4420 0.7500 0.3270  3 Ga 1.87-1.95
O 0.4633 0.2500 0.1180  2 Ga 2.02, 1 Hg 2.05
O 0.5367 0.7500 0.8820  2 Ga 2.02, 1 Hg 2.05
O 0.5580 0.2500 0.6730  3 Ga 1.87-1.95
O 0.6208 0.7500 0.4879  3 Ga 2.06-2.16, 1 Hg 2.08
O 0.7188 0.2500 0.2998  3 Ga 1.96
O 0.7812 0.7500 0.7998  3 Ga 1.96
O 0.8792 0.2500 0.9879  3 Ga 2.06-2.16, 1 Hg 2.08
O 0.9420 0.7500 0.1730  3 Ga 1.87-1.95
O 0.9633 0.2500 0.3820  2 Ga 2.02, 1 Hg 2.05



Record 8
The following is a DFT calculation (PBE-GGA) of DyPb6 after structural relaxation.

Computed properties:
The raw total energy comes out at -3.19 eV/atom. The density of states at the Fermi level comes out at 1.06 states/eV/atom. The value obtained for the energy relative to the elements is 0.65 eV per atom.

abc: 7.3858 7.3858 7.3858
angles: 109.47 109.47 109.47
With the nearest neighbours (Å) after each atom.
Element x y z (fractional)
Dy 0.0000 0.0000 0.0000  24 Pb 4.77
Pb 0.2500 0.5000 0.7500  4 Pb 3.02
Pb 0.2500 0.7500 0.5000  4 Pb 3.02
Pb 0.5000 0.2500 0.7500  4 Pb 3.02
Pb 0.5000 0.7500 0.2500  4 Pb 3.02
Pb 0.7500 0.2500 0.5000  4 Pb 3.02
Pb 0.7500 0.5000 0.2500  4 Pb 3.02



Record 9
The following is a DFT calculation (PBE-GGA) of Pr12Nd6Tl after structural relaxation.

Computed properties:
The raw total energy comes out at -4.58 eV/atom. The density of states at the Fermi level comes out at 1.57 states/eV/atom. The value obtained for the energy relative to the elements is 0.06 eV per atom.

abc: 8.7871 8.7871 8.7871
angles: 88.67 88.67 88.67
With the nearest neighbours (Å) after each atom.
Element x y z (fractional)
Pr 0.0350 0.2841 0.9315  4 Pr 3.42-3.75, 3 Nd 3.44-3.58
Pr 0.0685 0.9650 0.7160  4 Pr 3.42-3.75, 3 Nd 3.44-3.58
Pr 0.1377 0.3211 0.4826  4 Nd 3.55-3.79, 1 Tl 3.59, 5 Pr 3.63-3.94
Pr 0.2841 0.9315 0.0350  4 Pr 3.42-3.75, 3 Nd 3.44-3.58
Pr 0.3211 0.4826 0.1377  4 Nd 3.55-3.79, 1 Tl 3.59, 5 Pr 3.63-3.94
Pr 0.4826 0.1377 0.3211  4 Nd 3.55-3.79, 1 Tl 3.59, 5 Pr 3.63-3.94
Pr 0.5174 0.8623 0.6789  4 Nd 3.55-3.79, 1 Tl 3.59, 5 Pr 3.63-3.94
Pr 0.6789 0.5174 0.8623  4 Nd 3.55-3.79, 1 Tl 3.59, 5 Pr 3.63-3.94
Pr 0.7159 0.0685 0.9650  4 Pr 3.42-3.75, 3 Nd 3.44-3.58
Pr 0.8623 0.6789 0.5174  4 Nd 3.55-3.79, 1 Tl 3.59, 5 Pr 3.63-3.94
Pr 0.9315 0.0350 0.2841  4 Pr 3.42-3.75, 3 Nd 3.44-3.58
Pr 0.9650 0.7160 0.0685  4 Pr 3.42-3.75, 3 Nd 3.44-3.58
Nd 0.2078 0.5976 0.7587  7 Pr 3.44-3.79, 1 Tl 3.49, 2 Nd 3.54
Nd 0.2413 0.7922 0.4024  7 Pr 3.44-3.79, 1 Tl 3.49, 2 Nd 3.54
Nd 0.4024 0.2413 0.7922  7 Pr 3.44-3.79, 1 Tl 3.49, 2 Nd 3.54
Nd 0.5976 0.7587 0.2078  7 Pr 3.44-3.79, 1 Tl 3.49, 2 Nd 3.54
Nd 0.7587 0.2078 0.5976  7 Pr 3.44-3.79, 1 Tl 3.49, 2 Nd 3.54
Nd 0.7922 0.4024 0.2413  7 Pr 3.44-3.79, 1 Tl 3.49, 2 Nd 3.54
Tl 0.5000 0.5000 0.5000  6 Nd 3.49, 6 Pr 3.59